! ZnCl2F | Alexandria | PBE | relaxed; values from VASP
! space-group type = Fm-3m, No. 225
! energy = -2.06 eV per atom
! relative energy among the computed polymorphs = 331 meV/atom
! energy relative to the elements, uncorrected = -347 meV per atom
&SYSTEM
  ibrav = 0, nat = 4, ntyp = 3
/
ATOMIC_SPECIES
Zn 65.41 Zn.upf
F 19.00 F.upf
Cl 35.45 Cl.upf
ATOMIC_POSITIONS crystal
Zn 0.5000 0.5000 0.5000
F 0.0000 0.0000 0.0000
Cl 0.7500 0.7500 0.7500
Cl 0.2500 0.2500 0.2500
CELL_PARAMETERS angstrom
0.0000 3.1627 3.1627
3.1627 0.0000 3.1627
3.1627 3.1627 0.0000